No. 1
First-principles (PBE-GGA) data for a relaxed structure of NaGeIr, as listed in Alexandria via LeMat-Bulk.

Unit cell a=4.101 b=4.101 c=4.599 alpha=90.00 beta=90.00 gamma=120.00
Atoms (fractional coordinates):
Na1 0.000 0.000 0.000
Ge1 0.333 0.667 0.500
Ir1 0.667 0.333 0.500

Properties
energy relative to the elements	-0.12	eV per formula unit
volume	67	Å³ per cell

---

No. 2
First-principles (PBE-GGA) data for a relaxed structure of Na2Ge2Ir, as listed in Alexandria via LeMat-Bulk.

Unit cell a=6.413 b=6.413 c=5.006 alpha=90.00 beta=90.00 gamma=90.00
Atoms (fractional coordinates):
Na1 0.182 0.318 0.000
Na2 0.318 0.818 0.000
Na3 0.682 0.182 0.000
Na4 0.818 0.682 0.000
Ge1 0.144 0.644 0.500
Ge2 0.356 0.144 0.500
Ge3 0.644 0.856 0.500
Ge4 0.856 0.356 0.500
Ir1 0.000 0.000 0.500
Ir2 0.500 0.500 0.500

Properties
energy relative to the elements	-0.75	eV per formula unit
excess energy over the best structure of this formula in the dataset	0	meV/atom
volume	206	Å³ per cell

---

No. 3
First-principles (PBE-GGA) data for a relaxed structure of Na2GeIr2, as listed in Alexandria via LeMat-Bulk.

Unit cell a=6.248 b=6.248 c=4.980 alpha=90.00 beta=90.00 gamma=90.00
Atoms (fractional coordinates):
Na1 0.168 0.332 0.000
Na2 0.332 0.832 0.000
Na3 0.668 0.168 0.000
Na4 0.832 0.668 0.000
Ge1 0.000 0.000 0.500
Ge2 0.500 0.500 0.500
Ir1 0.141 0.641 0.500
Ir2 0.359 0.141 0.500
Ir3 0.641 0.859 0.500
Ir4 0.859 0.359 0.500

Properties
energy relative to the elements	-0.33	eV per formula unit
volume	194	Å³ per cell

---

No. 4
First-principles (PBE-GGA) data for a relaxed structure of Na2Ge6Ir, as listed in Alexandria via LeMat-Bulk.

Unit cell a=5.835 b=5.835 c=5.889 alpha=90.00 beta=90.00 gamma=120.00
Atoms (fractional coordinates):
Na1 0.333 0.667 0.373
Na2 0.667 0.333 0.627
Ge1 0.171 0.343 0.822
Ge2 0.171 0.829 0.822
Ge3 0.343 0.171 0.178
Ge4 0.657 0.829 0.822
Ge5 0.829 0.171 0.178
Ge6 0.829 0.657 0.178
Ir1 0.000 0.000 0.500

Properties
energy relative to the elements	-0.83	eV per formula unit
volume	174	Å³ per cell